# Ni6P7O24, relaxed, DFT PBE with a Hubbard U
data_Ni6P7O24
_chemical_formula_sum 'Ni12 P14 O48'
_cell_length_a 5.2854
_cell_length_b 6.3690
_cell_length_c 26.6255
_cell_angle_alpha 90.00
_cell_angle_beta 90.00
_cell_angle_gamma 107.39
_symmetry_space_group_name_H-M 'P 1'
_symmetry_Int_Tables_number 1
loop_
_symmetry_equiv_pos_as_xyz
'x,y,z'
loop_
_atom_site_label
_atom_site_fract_x
_atom_site_fract_y
_atom_site_fract_z
Ni1 0.1693 0.0912 0.0991
Ni2 0.1540 0.2728 0.8139
Ni3 0.7665 0.3074 0.4455
Ni4 0.7665 0.3074 0.0545
Ni5 0.8307 0.9088 0.9009
Ni6 0.1540 0.2728 0.6861
Ni7 0.8460 0.7272 0.3139
Ni8 0.8460 0.7272 0.1861
Ni9 0.2335 0.6926 0.5545
Ni10 0.8307 0.9088 0.5991
Ni11 0.1693 0.0912 0.4009
Ni12 0.2335 0.6926 0.9455
P1 0.7071 0.3706 0.8928
P2 0.7071 0.3706 0.6072
P3 0.2826 0.8039 0.8303
P4 0.3147 0.2047 0.5257
P5 0.5869 0.1022 0.7500
P6 0.7174 0.1961 0.3303
P7 0.2929 0.6294 0.1072
P8 0.6853 0.7953 0.0257
P9 0.7174 0.1961 0.1697
P10 0.6853 0.7953 0.4743
P11 0.2929 0.6294 0.3928
P12 0.2826 0.8039 0.6697
P13 0.3147 0.2047 0.9743
P14 0.4131 0.8978 0.2500
O1 0.1166 0.7900 0.2500
O2 0.8834 0.2100 0.7500
O3 0.6028 0.7590 0.2500
O4 0.5987 0.2692 0.5531
O5 0.4316 0.7903 0.8797
O6 0.8858 0.6047 0.9057
O7 0.9068 0.0538 0.3352
O8 0.8530 0.0137 0.4502
O9 0.8741 0.2234 0.8752
O10 0.6059 0.8298 0.5286
O11 0.0932 0.9462 0.8352
O12 0.1259 0.7766 0.3752
O13 0.9068 0.0538 0.1648
O14 0.1860 0.3861 0.9684
O15 0.4804 0.3719 0.8590
O16 0.0932 0.9462 0.6648
O17 0.5311 0.9420 0.7032
O18 0.5196 0.6281 0.1410
O19 0.4689 0.0580 0.2968
O20 0.3972 0.2410 0.7500
O21 0.8464 0.4146 0.1942
O22 0.5684 0.2097 0.1203
O23 0.8140 0.6139 0.0316
O24 0.4689 0.0580 0.2032
O25 0.5311 0.9420 0.7968
O26 0.1470 0.9863 0.5498
O27 0.3941 0.1702 0.0286
O28 0.8464 0.4146 0.3058
O29 0.4804 0.3719 0.6410
O30 0.1860 0.3861 0.5316
O31 0.1259 0.7766 0.1248
O32 0.4316 0.7903 0.6203
O33 0.1470 0.9863 0.9502
O34 0.5987 0.2692 0.9469
O35 0.1142 0.3953 0.4057
O36 0.3941 0.1702 0.4714
O37 0.8140 0.6139 0.4684
O38 0.5196 0.6281 0.3590
O39 0.1536 0.5854 0.8058
O40 0.8741 0.2234 0.6248
O41 0.4013 0.7308 0.0531
O42 0.8530 0.0137 0.0498
O43 0.6059 0.8298 0.9714
O44 0.1536 0.5854 0.6942
O45 0.5684 0.2097 0.3797
O46 0.4013 0.7308 0.4469
O47 0.8858 0.6047 0.5943
O48 0.1142 0.3953 0.0943
# DFT total energy (hartree per atom): -0.23851
# Volume (Å³/atom): 11.6
# Magnetization (μB per formula unit): 10.81
# Density (Mg/m³): 3.70